{
  "formula": "Ga9Ir2",
  "functional": "PBEsol",
  "state": "relaxed",
  "lattice": [[6.385, 0.000, 0.000], [0.000, 6.386, 0.011], [0.000, -0.548, 8.739]],
  "species": ["Ga", "Ga", "Ga", "Ga", "Ga", "Ga", "Ga", "Ga", "Ga", "Ga", "Ga", "Ga", "Ga", "Ga", "Ga", "Ga", "Ga", "Ga", "Ir", "Ir", "Ir", "Ir"],
  "frac_coords": [[0.500, 0.000, 0.500], [0.000, 0.000, 0.000], [0.488, 0.603, 0.230], [0.988, 0.397, 0.270], [0.512, 0.397, 0.770], [0.012, 0.603, 0.730], [0.782, 0.897, 0.273], [0.282, 0.103, 0.227], [0.218, 0.103, 0.727], [0.718, 0.897, 0.773], [0.699, 0.606, 0.504], [0.199, 0.394, 0.996], [0.301, 0.394, 0.496], [0.801, 0.606, 0.004], [0.099, 0.796, 0.460], [0.599, 0.204, 0.040], [0.901, 0.204, 0.540], [0.401, 0.796, 0.960], [0.127, 0.738, 0.169], [0.627, 0.262, 0.331], [0.873, 0.262, 0.831], [0.373, 0.738, 0.669]],
  "magmom_total_mub_per_cell": 0.00,
  "dos_at_fermi_per_ev_cell": 5.56,
  "e_form_mev_per_atom": -333
}

{
  "formula": "MoAsNO2",
  "functional": "PBEsol",
  "state": "relaxed",
  "lattice": [[3.806, 0.000, 0.000], [0.000, 3.806, 0.000], [0.000, 0.000, 4.079]],
  "species": ["Mo", "As", "O", "O", "N"],
  "frac_coords": [[0.000, 0.000, 0.000], [0.500, 0.500, 0.500], [0.000, 0.500, 0.000], [0.500, 0.000, 0.000], [0.000, 0.000, 0.500]],
  "magmom_total_mub_per_cell": 0.00,
  "dos_at_fermi_per_ev_cell": 2.72,
  "e_form_raw_mev_per_atom": -465
}

{
  "formula": "SnHSN2",
  "functional": "PBEsol",
  "state": "relaxed",
  "lattice": [[3.069, 0.000, 0.000], [0.000, 4.094, 0.000], [0.000, 0.000, 4.094]],
  "species": ["H", "S", "Sn", "N", "N"],
  "frac_coords": [[0.000, 0.000, 0.000], [0.500, 0.000, 0.000], [0.500, 0.500, 0.500], [0.000, 0.000, 0.500], [0.000, 0.500, 0.000]],
  "magmom_total_mub_per_cell": 0.00,
  "dos_at_fermi_per_ev_cell": 2.45,
  "dft_energy_ev_per_cell": -21.445
}

{
  "formula": "Al4Ag3",
  "functional": "PBEsol",
  "state": "relaxed",
  "lattice": [[2.937, 0.000, 0.000], [1.468, 2.543, 0.000], [1.468, 0.848, 15.278]],
  "species": ["Al", "Al", "Al", "Al", "Ag", "Ag", "Ag"],
  "frac_coords": [[0.571, 0.571, 0.286], [0.286, 0.286, 0.141], [0.714, 0.714, 0.859], [0.429, 0.429, 0.714], [0.141, 0.141, 0.576], [0.859, 0.859, 0.424], [0.000, 0.000, 0.000]],
  "magmom_total_mub_per_cell": 0.00,
  "dos_at_fermi_per_ev_cell": 1.69,
  "relative_energy_ev_per_fu": 0.008,
  "e_form_mev_per_atom": -67
}

{
  "formula": "FeIrBr3",
  "functional": "PBEsol",
  "state": "relaxed",
  "lattice": [[4.780, 0.000, 0.000], [0.000, 4.780, 0.000], [0.000, 0.000, 4.780]],
  "species": ["Ir", "Fe", "Br", "Br", "Br"],
  "frac_coords": [[0.500, 0.500, 0.500], [0.000, 0.000, 0.000], [0.000, 0.500, 0.000], [0.000, 0.000, 0.500], [0.500, 0.000, 0.000]],
  "magmom_total_mub_per_cell": 5.28,
  "dos_at_fermi_per_ev_cell": 9.28,
  "e_form_raw_mev_per_atom": 1098
}

{
  "formula": "Zr2CrCl",
  "functional": "PBEsol",
  "state": "relaxed",
  "lattice": [[3.059, 0.000, -0.029], [0.000, 4.949, 0.000], [-1.408, 0.000, 4.780]],
  "species": ["Cr", "Zr", "Zr", "Cl"],
  "frac_coords": [[0.447, 0.500, 0.897], [0.876, 0.000, 0.847], [0.042, 0.500, 0.353], [0.136, 0.000, 0.403]],
  "magmom_total_mub_per_cell": 1.30,
  "dos_at_fermi_per_ev_cell": 3.95,
  "relative_energy_ev_per_fu": 1.189,
  "e_form_raw_mev_per_atom": -119
}

{
  "formula": "SmB6",
  "functional": "PBEsol",
  "state": "relaxed",
  "lattice": [[4.096, 0.000, 0.000], [0.000, 4.096, 0.000], [0.000, 0.000, 4.096]],
  "species": ["B", "B", "B", "B", "B", "B", "Sm"],
  "frac_coords": [[0.199, 0.500, 0.500], [0.500, 0.500, 0.801], [0.500, 0.500, 0.199], [0.500, 0.199, 0.500], [0.500, 0.801, 0.500], [0.801, 0.500, 0.500], [0.000, 0.000, 0.000]],
  "magmom_total_mub_per_cell": 0.00,
  "dos_at_fermi_per_ev_cell": 0.82,
  "e_form_mev_per_atom": -470
}

{
  "formula": "CsRbMo3P3O17",
  "functional": "PBEsol",
  "state": "relaxed",
  "lattice": [[9.556, 0.000, 0.000], [0.000, 10.796, 0.037], [0.000, 5.099, 14.683]],
  "species": ["Cs", "Cs", "Cs", "Cs", "Rb", "Rb", "Rb", "Rb", "Mo", "Mo", "Mo", "Mo", "Mo", "Mo", "Mo", "Mo", "Mo", "Mo", "Mo", "Mo", "P", "P", "P", "P", "P", "P", "P", "P", "P", "P", "P", "P", "O", "O", "O", "O", "O", "O", "O", "O", "O", "O", "O", "O", "O", "O", "O", "O", "O", "O", "O", "O", "O", "O", "O", "O", "O", "O", "O", "O", "O", "O", "O", "O", "O", "O", "O", "O", "O", "O", "O", "O", "O", "O", "O", "O", "O", "O", "O", "O", "O", "O", "O", "O", "O", "O", "O", "O", "O", "O", "O", "O", "O", "O", "O", "O", "O", "O", "O", "O"],
  "frac_coords": [[0.615, 0.321, 0.489], [0.385, 0.679, 0.511], [0.115, 0.179, 0.011], [0.885, 0.821, 0.989], [0.129, 0.599, 0.787], [0.871, 0.401, 0.213], [0.629, 0.901, 0.713], [0.371, 0.099, 0.287], [0.879, 0.196, 0.756], [0.121, 0.804, 0.244], [0.379, 0.304, 0.744], [0.621, 0.696, 0.256], [0.377, 0.812, 0.939], [0.623, 0.188, 0.061], [0.877, 0.688, 0.561], [0.123, 0.312, 0.439], [0.244, 0.977, 0.599], [0.756, 0.023, 0.401], [0.744, 0.523, 0.901], [0.256, 0.477, 0.099], [0.597, 0.078, 0.878], [0.403, 0.922, 0.122], [0.097, 0.422, 0.622], [0.903, 0.578, 0.378], [0.175, 0.039, 0.799], [0.825, 0.961, 0.201], [0.675, 0.461, 0.701], [0.325, 0.539, 0.299], [0.404, 0.403, 0.930], [0.596, 0.597, 0.070], [0.904, 0.097, 0.570], [0.096, 0.903, 0.430], [0.556, 0.733, 0.999], [0.444, 0.267, 0.001], [0.056, 0.767, 0.501], [0.944, 0.233, 0.499], [0.422, 0.247, 0.659], [0.578, 0.753, 0.341], [0.922, 0.253, 0.841], [0.078, 0.747, 0.159], [0.023, 0.289, 0.667], [0.977, 0.711, 0.333], [0.523, 0.211, 0.833], [0.477, 0.789, 0.167], [0.289, 0.466, 0.975], [0.711, 0.534, 0.025], [0.789, 0.034, 0.525], [0.211, 0.966, 0.475], [0.418, 0.015, 0.580], [0.582, 0.985, 0.420], [0.918, 0.485, 0.920], [0.082, 0.515, 0.080], [0.730, 0.070, 0.822], [0.270, 0.930, 0.178], [0.230, 0.430, 0.678], [0.770, 0.570, 0.322], [0.504, 0.965, 0.871], [0.496, 0.035, 0.129], [0.004, 0.535, 0.629], [0.996, 0.465, 0.371], [0.383, 0.753, 0.850], [0.617, 0.247, 0.150], [0.883, 0.747, 0.650], [0.117, 0.253, 0.350], [0.030, 0.005, 0.598], [0.970, 0.995, 0.402], [0.530, 0.495, 0.902], [0.470, 0.505, 0.098], [0.013, 0.042, 0.798], [0.987, 0.958, 0.202], [0.513, 0.458, 0.702], [0.487, 0.542, 0.298], [0.236, 0.166, 0.807], [0.764, 0.834, 0.193], [0.736, 0.334, 0.693], [0.264, 0.666, 0.307], [0.236, 0.015, 0.714], [0.764, 0.985, 0.286], [0.736, 0.485, 0.786], [0.264, 0.515, 0.214], [0.210, 0.922, 0.886], [0.790, 0.078, 0.114], [0.710, 0.578, 0.614], [0.290, 0.422, 0.386], [0.328, 0.383, 0.849], [0.672, 0.617, 0.151], [0.828, 0.117, 0.651], [0.172, 0.883, 0.349], [0.138, 0.435, 0.525], [0.862, 0.565, 0.475], [0.638, 0.065, 0.975], [0.362, 0.935, 0.025], [0.214, 0.188, 0.521], [0.786, 0.812, 0.479], [0.714, 0.312, 0.979], [0.286, 0.688, 0.021], [0.245, 0.810, 0.647], [0.755, 0.190, 0.353], [0.745, 0.690, 0.853], [0.255, 0.310, 0.147]],
  "magmom_total_mub_per_cell": 4.00,
  "e_form_raw_mev_per_atom": -2154
}

> Which formula does entry 3 have?

SnHSN2

> What is the formula in the eighth record?

CsRbMo3P3O17